Record 1
Below is an optimized crystal structure of AlCd2Sb, with properties calculated at the PBE-GGA level.

Lattice parameters (Å, degrees): 5.1559 5.1559 5.1559 60.00 60.00 60.00
Last column: nearest neighbours and their distance in Å.
Element x y z (fractional)
Al (0.0000, 0.0000, 0.0000)  8 Cd 3.16
Cd (0.2500, 0.2500, 0.2500)  4 Sb 3.16, 4 Al 3.16
Cd (0.7500, 0.7500, 0.7500)  4 Al 3.16, 4 Sb 3.16
Sb (0.5000, 0.5000, 0.5000)  8 Cd 3.16

Computed properties:
Energy above the lowest structure with this stoichiometry = 0.1265 eV per atom
Uncorrected energy = -2.2063 eV per atom
Raw formation energy = 218 meV/atom
D(E_F) = 0.4471 states/eV per atom
Space group = Fm-3m (225)

---

Record 2
Below is an optimized crystal structure of AlCdSb, with properties calculated at the PBE-GGA level.

Lattice parameters (Å, degrees): 3.2291 4.0862 6.2791 74.00 83.69 69.51
Last column: nearest neighbours and their distance in Å.
Element x y z (fractional)
Al (0.0000, 0.0000, 0.0000)  3 Sb 2.78-2.86, 3 Cd 2.88-3.08
Cd (0.6552, 0.7533, 0.6764)  3 Al 2.88-3.08, 1 Sb 3.03
Sb (0.6767, 0.4574, 0.2809)  3 Al 2.78-2.86, 1 Cd 3.03

Computed properties:
Energy above the lowest structure with this stoichiometry = 0.0607 eV per atom
Uncorrected energy = -2.8006 eV per atom
Raw formation energy = 126 meV/atom
D(E_F) = 0.4310 states/eV per atom
Space group = P1 (1)

---

Record 3
Below is an optimized crystal structure of Al2Cd2Sb, with properties calculated at the PBE-GGA level.

Lattice parameters (Å, degrees): 8.2635 8.2635 3.2751 90.00 90.00 90.00
Last column: nearest neighbours and their distance in Å.
Element x y z (fractional)
Al (0.1750, 0.3250, 0.0000)  6 Cd 2.84-3.01
Al (0.3250, 0.8250, 0.0000)  6 Cd 2.84-3.01
Al (0.6750, 0.1750, 0.0000)  6 Cd 2.84-3.01
Al (0.8250, 0.6750, 0.0000)  6 Cd 2.84-3.01
Cd (0.1261, 0.6261, 0.5000)  6 Al 2.84-3.01, 1 Cd 2.95
Cd (0.3739, 0.1261, 0.5000)  6 Al 2.84-3.01, 1 Cd 2.95
Cd (0.6261, 0.8739, 0.5000)  6 Al 2.84-3.01, 1 Cd 2.95
Cd (0.8739, 0.3739, 0.5000)  6 Al 2.84-3.01, 1 Cd 2.95
Sb (0.0000, 0.0000, 0.5000)  4 Cd 3.26, 2 Sb 3.28, 8 Al 3.46
Sb (0.5000, 0.5000, 0.5000)  4 Cd 3.26, 2 Sb 3.28, 8 Al 3.46

Computed properties:
Energy above the lowest structure with this stoichiometry = 0.0240 eV per atom
Uncorrected energy = -2.4512 eV per atom
Raw formation energy = 236 meV/atom
D(E_F) = 0.4431 states/eV per atom
Space group = P4/mbm (127)

---

Q: What is the formula in the third record?
A: Al2Cd2Sb

---

Repeat the second record exactly.
Below is an optimized crystal structure of AlCdSb, with properties calculated at the PBE-GGA level.

Lattice parameters (Å, degrees): 3.2291 4.0862 6.2791 74.00 83.69 69.51
Last column: nearest neighbours and their distance in Å.
Element x y z (fractional)
Al (0.0000, 0.0000, 0.0000)  3 Sb 2.78-2.86, 3 Cd 2.88-3.08
Cd (0.6552, 0.7533, 0.6764)  3 Al 2.88-3.08, 1 Sb 3.03
Sb (0.6767, 0.4574, 0.2809)  3 Al 2.78-2.86, 1 Cd 3.03

Computed properties:
Energy above the lowest structure with this stoichiometry = 0.0607 eV per atom
Uncorrected energy = -2.8006 eV per atom
Raw formation energy = 126 meV/atom
D(E_F) = 0.4310 states/eV per atom
Space group = P1 (1)

---

What did the second record say?
Below is an optimized crystal structure of AlCdSb, with properties calculated at the PBE-GGA level.

Lattice parameters (Å, degrees): 3.2291 4.0862 6.2791 74.00 83.69 69.51
Last column: nearest neighbours and their distance in Å.
Element x y z (fractional)
Al (0.0000, 0.0000, 0.0000)  3 Sb 2.78-2.86, 3 Cd 2.88-3.08
Cd (0.6552, 0.7533, 0.6764)  3 Al 2.88-3.08, 1 Sb 3.03
Sb (0.6767, 0.4574, 0.2809)  3 Al 2.78-2.86, 1 Cd 3.03

Computed properties:
Energy above the lowest structure with this stoichiometry = 0.0607 eV per atom
Uncorrected energy = -2.8006 eV per atom
Raw formation energy = 126 meV/atom
D(E_F) = 0.4310 states/eV per atom
Space group = P1 (1)

---

Q: Look up the energy above the lowest structure with this stoichiometry of the third one.
A: 0.0240 eV per atom